1.
Ce2HoTc after structural relaxation, computed with GGA-PBE.

Cell: 10.872 6.513 6.022 Å, 90.00 90.00 90.00°
Positions (direct):
Ce1 0.181 0.175 0.250
Ce2 0.181 0.825 0.750
Ce3 0.319 0.325 0.750
Ce4 0.319 0.675 0.250
Ce5 0.681 0.325 0.750
Ce6 0.681 0.675 0.250
Ce7 0.819 0.175 0.250
Ce8 0.819 0.825 0.750
Ho1 0.000 0.371 0.750
Ho2 0.000 0.629 0.250
Ho3 0.500 0.129 0.250
Ho4 0.500 0.871 0.750
Tc1 0.000 0.000 0.000
Tc2 0.000 0.000 0.500
Tc3 0.500 0.500 0.000
Tc4 0.500 0.500 0.500

Results
Relative energy among the computed polymorphs, eV/atom: 0.000
Calculated formation energy, meV per atom: -47
Space group: Cmcm, No. 63
Calculated volume, Å³ per atom: 26.7

2.
HfMnSi after structural relaxation, computed with GGA-PBE.

Cell: 3.718 3.718 13.377 Å, 90.00 90.00 90.00°
Positions (direct):
Hf1 0.000 0.000 0.170
Hf2 0.000 0.000 0.830
Hf3 0.500 0.500 0.330
Hf4 0.500 0.500 0.670
Mn1 0.000 0.500 0.000
Mn2 0.000 0.500 0.500
Mn3 0.500 0.000 0.000
Mn4 0.500 0.000 0.500
Si1 0.000 0.000 0.382
Si2 0.000 0.000 0.618
Si3 0.500 0.500 0.118
Si4 0.500 0.500 0.882

Results
Space group: I4/mmm, No. 139
Formation energy without anion corrections, meV/atom: -656
Calculated volume, Å³ per atom: 15.4

3.
CuRhW2 after structural relaxation, computed with GGA-PBE.

Cell: 5.383 8.025 2.712 Å, 90.00 90.80 90.00°
Positions (direct):
Cu1 0.000 0.000 0.000
Cu2 0.500 0.500 0.000
Rh1 0.000 0.500 0.000
Rh2 0.500 0.000 0.000
W1 0.250 0.250 0.500
W2 0.250 0.750 0.500
W3 0.750 0.250 0.500
W4 0.750 0.750 0.500

Results
Relative energy among the computed polymorphs, eV/atom: 0.040
Calculated formation energy, meV per atom: 129
Space group: C2/m, No. 12
Calculated volume, Å³ per atom: 14.6

4.
Nb2ReH after structural relaxation, computed with GGA-PBE.

Cell: 2.999 2.999 20.731 Å, 90.00 90.00 120.00°
Positions (direct):
Nb1 0.000 0.000 0.230
Nb2 0.000 0.000 0.770
Nb3 0.333 0.667 0.436
Nb4 0.333 0.667 0.897
Nb5 0.667 0.333 0.103
Nb6 0.667 0.333 0.564
Re1 0.000 0.000 0.000
Re2 0.333 0.667 0.667
Re3 0.667 0.333 0.333
H1 0.000 0.000 0.500
H2 0.333 0.667 0.167
H3 0.667 0.333 0.833

Results
Relative energy among the computed polymorphs, eV/atom: 0.000
Space group: R-3m, No. 166
Calculated volume, Å³ per atom: 13.5

5.
LiPm2PbO6 after structural relaxation, computed with GGA-PBE.

Cell: 5.640 5.868 9.776 Å, 90.00 120.96 90.00°
Positions (direct):
Li1 0.000 0.000 0.000
Li2 0.000 0.500 0.500
Pm1 0.205 0.067 0.740
Pm2 0.205 0.433 0.240
Pm3 0.795 0.567 0.760
Pm4 0.795 0.933 0.260
Pb1 0.500 0.000 0.500
Pb2 0.500 0.500 0.000
O1 0.133 0.200 0.438
O2 0.133 0.300 0.938
O3 0.213 0.704 0.416
O4 0.213 0.796 0.916
O5 0.399 0.062 0.257
O6 0.399 0.438 0.757
O7 0.601 0.562 0.243
O8 0.601 0.938 0.743
O9 0.787 0.204 0.084
O10 0.787 0.296 0.584
O11 0.867 0.700 0.062
O12 0.867 0.800 0.562

Results
Space group: P2_1/c, No. 14
Formation energy without anion corrections, meV/atom: -2148
Calculated volume, Å³ per atom: 13.9

6.
Sm2Ni2Ir after structural relaxation, computed with GGA-PBE.

Cell: 6.860 6.860 4.003 Å, 90.00 90.00 90.00°
Positions (direct):
Sm1 0.186 0.314 0.000
Sm2 0.314 0.814 0.000
Sm3 0.686 0.186 0.000
Sm4 0.814 0.686 0.000
Ni1 0.122 0.622 0.500
Ni2 0.378 0.122 0.500
Ni3 0.622 0.878 0.500
Ni4 0.878 0.378 0.500
Ir1 0.000 0.000 0.500
Ir2 0.500 0.500 0.500

Results
Calculated formation energy, meV per atom: -400
Space group: P4/mbm, No. 127
Calculated volume, Å³ per atom: 18.8

7.
SmGdYAl after structural relaxation, computed with GGA-PBE.

Cell: 7.631 7.631 7.631 Å, 90.00 90.00 90.00°
Positions (direct):
Sm1 0.000 0.000 0.000
Sm2 0.000 0.500 0.500
Sm3 0.500 0.000 0.500
Sm4 0.500 0.500 0.000
Gd1 0.250 0.250 0.250
Gd2 0.250 0.750 0.750
Gd3 0.750 0.250 0.750
Gd4 0.750 0.750 0.250
Y1 0.000 0.000 0.500
Y2 0.000 0.500 0.000
Y3 0.500 0.000 0.000
Y4 0.500 0.500 0.500
Al1 0.250 0.250 0.750
Al2 0.250 0.750 0.250
Al3 0.750 0.250 0.250
Al4 0.750 0.750 0.750

Results
Calculated formation energy, meV per atom: -70
Space group: F-43m, No. 216
Calculated volume, Å³ per atom: 27.8

8.
TiP2O8 after structural relaxation, computed with GGA-PBE.

Cell: 5.268 6.391 10.287 Å, 90.00 93.35 90.00°
Positions (direct):
Ti1 0.241 0.250 0.350
Ti2 0.759 0.750 0.650
P1 0.234 0.750 0.435
P2 0.294 0.750 0.873
P3 0.706 0.250 0.127
P4 0.766 0.250 0.565
O1 0.004 0.250 0.485
O2 0.054 0.750 0.783
O3 0.235 0.555 0.347
O4 0.235 0.945 0.347
O5 0.285 0.565 0.971
O6 0.285 0.935 0.971
O7 0.467 0.250 0.204
O8 0.473 0.750 0.529
O9 0.527 0.250 0.471
O10 0.533 0.750 0.796
O11 0.715 0.065 0.029
O12 0.715 0.435 0.029
O13 0.765 0.055 0.653
O14 0.765 0.445 0.653
O15 0.946 0.250 0.217
O16 0.996 0.750 0.515

Results
Relative energy among the computed polymorphs, eV/atom: 0.000
Space group: P2_1/m, No. 11
Formation energy without anion corrections, meV/atom: -2035
Calculated volume, Å³ per atom: 15.7

9.
Y3NbPb after structural relaxation, computed with GGA-PBE.

Cell: 5.432 5.432 5.432 Å, 90.00 90.00 90.00°
Positions (direct):
Y1 0.000 0.000 0.500
Y2 0.000 0.500 0.000
Y3 0.500 0.000 0.000
Nb1 0.000 0.000 0.000
Pb1 0.500 0.500 0.500

Results
Relative energy among the computed polymorphs, eV/atom: 0.000
Calculated formation energy, meV per atom: 425
Space group: Pm-3m, No. 221
Calculated volume, Å³ per atom: 32.0

10.
Li2ZnGe2 after structural relaxation, computed with GGA-PBE.

Cell: 5.276 5.276 9.033 Å, 109.92 109.92 48.00°
Positions (direct):
Li1 0.038 0.038 0.343
Li2 0.160 0.160 0.073
Li3 0.840 0.840 0.927
Li4 0.962 0.962 0.657
Zn1 0.273 0.273 0.653
Zn2 0.727 0.727 0.347
Ge1 0.374 0.374 0.385
Ge2 0.470 0.470 0.130
Ge3 0.530 0.530 0.870
Ge4 0.626 0.626 0.615

Results
Calculated formation energy, meV per atom: -200
Space group: C2/m, No. 12
Calculated volume, Å³ per atom: 17.3

11.
Sm4Ho2In after structural relaxation, computed with GGA-PBE.

Cell: 6.658 6.658 12.183 Å, 96.94 96.94 123.73°
Positions (direct):
Sm1 0.010 0.724 0.217
Sm2 0.045 0.955 0.500
Sm3 0.082 0.495 0.582
Sm4 0.326 0.557 0.866
Sm5 0.495 0.082 0.082
Sm6 0.557 0.326 0.366
Sm7 0.724 0.010 0.717
Sm8 0.955 0.045 0.000
Ho1 0.447 0.592 0.158
Ho2 0.475 0.815 0.425
Ho3 0.592 0.447 0.658
Ho4 0.815 0.475 0.925
In1 0.217 0.974 0.790
In2 0.974 0.217 0.290

Results
Relative energy among the computed polymorphs, eV/atom: 0.000
Calculated formation energy, meV per atom: -94
Space group: Cc, No. 9
Calculated volume, Å³ per atom: 31.0

12.
Ce7In3Pb after structural relaxation, computed with GGA-PBE.

Cell: 7.978 7.978 5.876 Å, 108.22 108.22 90.98°
Positions (direct):
Ce1 0.000 0.000 0.000
Ce2 0.075 0.565 0.355
Ce3 0.314 0.314 0.828
Ce4 0.435 0.925 0.645
Ce5 0.565 0.075 0.355
Ce6 0.686 0.686 0.172
Ce7 0.925 0.435 0.645
In1 0.272 0.728 0.000
In2 0.500 0.500 0.500
In3 0.728 0.272 0.000
Pb1 0.000 0.000 0.500

Results
Calculated formation energy, meV per atom: -105
Space group: C2/m, No. 12
Calculated volume, Å³ per atom: 30.4

13.
NaLaYSn after structural relaxation, computed with GGA-PBE.

Cell: 7.740 7.740 7.740 Å, 90.00 90.00 90.00°
Positions (direct):
Na1 0.000 0.000 0.000
Na2 0.000 0.500 0.500
Na3 0.500 0.000 0.500
Na4 0.500 0.500 0.000
La1 0.250 0.250 0.750
La2 0.250 0.750 0.250
La3 0.750 0.250 0.250
La4 0.750 0.750 0.750
Y1 0.250 0.250 0.250
Y2 0.250 0.750 0.750
Y3 0.750 0.250 0.750
Y4 0.750 0.750 0.250
Sn1 0.000 0.000 0.500
Sn2 0.000 0.500 0.000
Sn3 0.500 0.000 0.000
Sn4 0.500 0.500 0.500

Results
Calculated formation energy, meV per atom: -328
Space group: F-43m, No. 216
Calculated volume, Å³ per atom: 29.0

14.
TaRe after structural relaxation, computed with GGA-PBE.

Cell: 3.193 3.193 6.463 Å, 90.00 90.00 90.00°
Positions (direct):
Ta1 0.250 0.250 0.133
Ta2 0.750 0.750 0.867
Re1 0.250 0.250 0.624
Re2 0.750 0.750 0.376

Results
Calculated formation energy, meV per atom: -166
Space group: P4/nmm, No. 129
Calculated volume, Å³ per atom: 16.5

15.
BeCu2Se after structural relaxation, computed with GGA-PBE.

Cell: 2.708 2.708 25.543 Å, 90.00 90.00 120.00°
Positions (direct):
Be1 0.000 0.000 0.000
Be2 0.333 0.667 0.667
Be3 0.667 0.333 0.333
Cu1 0.000 0.000 0.266
Cu2 0.000 0.000 0.734
Cu3 0.333 0.667 0.401
Cu4 0.333 0.667 0.932
Cu5 0.667 0.333 0.068
Cu6 0.667 0.333 0.599
Se1 0.000 0.000 0.500
Se2 0.333 0.667 0.167
Se3 0.667 0.333 0.833

Results
Relative energy among the computed polymorphs, eV/atom: 0.212
Space group: R-3m, No. 166
Formation energy without anion corrections, meV/atom: 287
Calculated volume, Å³ per atom: 13.5

16.
CaAc2 after structural relaxation, computed with GGA-PBE.

Cell: 4.023 4.023 16.448 Å, 90.00 90.00 90.00°
Positions (direct):
Ca1 0.000 0.000 0.000
Ca2 0.500 0.500 0.500
Ac1 0.000 0.000 0.330
Ac2 0.000 0.000 0.670
Ac3 0.500 0.500 0.170
Ac4 0.500 0.500 0.830

Results
Relative energy among the computed polymorphs, eV/atom: 0.000
Calculated formation energy, meV per atom: 9
Space group: I4/mmm, No. 139
Calculated volume, Å³ per atom: 44.4

17.
Sr2PuCl8 after structural relaxation, computed with GGA-PBE.

Cell: 7.859 7.859 5.988 Å, 105.47 105.47 75.11°
Positions (direct):
Sr1 0.153 0.153 0.367
Sr2 0.847 0.847 0.633
Pu1 0.500 0.500 0.000
Cl1 0.091 0.091 0.809
Cl2 0.171 0.547 0.737
Cl3 0.373 0.373 0.254
Cl4 0.453 0.829 0.263
Cl5 0.547 0.171 0.737
Cl6 0.627 0.627 0.746
Cl7 0.829 0.453 0.263
Cl8 0.909 0.909 0.191

Results
Space group: C2/m, No. 12
Formation energy without anion corrections, meV/atom: -2071
Calculated volume, Å³ per atom: 30.6

18.
Cs3KLi after structural relaxation, computed with GGA-PBE.

Cell: 7.833 7.833 7.833 Å, 90.00 90.00 90.00°
Positions (direct):
Cs1 0.000 0.000 0.500
Cs2 0.000 0.500 0.000
Cs3 0.500 0.000 0.000
K1 0.500 0.500 0.500
Li1 0.000 0.000 0.000

Results
Relative energy among the computed polymorphs, eV/atom: 0.000
Calculated formation energy, meV per atom: 139
Space group: Pm-3m, No. 221
Calculated volume, Å³ per atom: 96.1

19.
NaAcAsBr after structural relaxation, computed with GGA-PBE.

Cell: 7.583 7.583 7.583 Å, 90.00 90.00 90.00°
Positions (direct):
Na1 0.000 0.000 0.000
Na2 0.000 0.500 0.500
Na3 0.500 0.000 0.500
Na4 0.500 0.500 0.000
Ac1 0.000 0.000 0.500
Ac2 0.000 0.500 0.000
Ac3 0.500 0.000 0.000
Ac4 0.500 0.500 0.500
As1 0.250 0.250 0.250
As2 0.250 0.750 0.750
As3 0.750 0.250 0.750
As4 0.750 0.750 0.250
Br1 0.250 0.250 0.750
Br2 0.250 0.750 0.250
Br3 0.750 0.250 0.250
Br4 0.750 0.750 0.750

Results
Space group: F-43m, No. 216
Formation energy without anion corrections, meV/atom: -1214
Calculated volume, Å³ per atom: 27.3

20.
HfTi2Zn2 after structural relaxation, computed with GGA-PBE.

Cell: 7.791 7.791 2.831 Å, 90.00 90.00 90.00°
Positions (direct):
Hf1 0.000 0.000 0.000
Hf2 0.500 0.500 0.000
Ti1 0.117 0.383 0.000
Ti2 0.383 0.883 0.000
Ti3 0.617 0.117 0.000
Ti4 0.883 0.617 0.000
Zn1 0.179 0.679 0.500
Zn2 0.321 0.179 0.500
Zn3 0.679 0.821 0.500
Zn4 0.821 0.321 0.500

Results
Relative energy among the computed polymorphs, eV/atom: 0.093
Calculated formation energy, meV per atom: 16
Space group: P4/mbm, No. 127
Calculated volume, Å³ per atom: 17.2

21.
PuCu4P3 after structural relaxation, computed with GGA-PBE.

Cell: 3.936 3.936 7.625 Å, 90.00 90.00 90.00°
Positions (direct):
Pu1 0.000 0.000 0.000
Cu1 0.000 0.500 0.325
Cu2 0.000 0.500 0.675
Cu3 0.500 0.000 0.325
Cu4 0.500 0.000 0.675
P1 0.000 0.000 0.500
P2 0.500 0.500 0.147
P3 0.500 0.500 0.853

Results
Calculated formation energy, meV per atom: -384
Space group: P4/mmm, No. 123
Calculated volume, Å³ per atom: 14.8

22.
La6PmPr2Tl after structural relaxation, computed with GGA-PBE.

Cell: 8.912 8.912 9.503 Å, 90.98 90.98 73.57°
Positions (direct):
La1 0.028 0.781 0.605
La2 0.126 0.599 0.000
La3 0.219 0.972 0.895
La4 0.266 0.508 0.395
La5 0.401 0.874 0.500
La6 0.492 0.734 0.105
La7 0.508 0.266 0.895
La8 0.599 0.126 0.500
La9 0.734 0.492 0.605
La10 0.781 0.028 0.105
La11 0.874 0.401 0.000
La12 0.972 0.219 0.395
Pm1 0.385 0.615 0.750
Pm2 0.615 0.385 0.250
Pr1 0.162 0.316 0.694
Pr2 0.316 0.162 0.194
Pr3 0.684 0.838 0.806
Pr4 0.838 0.684 0.306
Tl1 0.131 0.869 0.250
Tl2 0.869 0.131 0.750

Results
Calculated formation energy, meV per atom: 12
Space group: C2/c, No. 15
Calculated volume, Å³ per atom: 36.2

23.
ScZnCo2 after structural relaxation, computed with GGA-PBE.

Cell: 3.933 3.000 9.701 Å, 90.00 90.00 90.00°
Positions (direct):
Sc1 0.000 0.000 0.000
Sc2 0.000 0.500 0.500
Zn1 0.500 0.000 0.672
Zn2 0.500 0.500 0.172
Co1 0.000 0.000 0.266
Co2 0.000 0.500 0.766
Co3 0.500 0.000 0.392
Co4 0.500 0.500 0.892

Results
Calculated formation energy, meV per atom: -56
Space group: Amm2, No. 38
Calculated volume, Å³ per atom: 14.3

24.
HoErMnIn after structural relaxation, computed with GGA-PBE.

Cell: 7.302 7.302 7.302 Å, 90.00 90.00 90.00°
Positions (direct):
Ho1 0.000 0.000 0.000
Ho2 0.000 0.500 0.500
Ho3 0.500 0.000 0.500
Ho4 0.500 0.500 0.000
Er1 0.000 0.000 0.500
Er2 0.000 0.500 0.000
Er3 0.500 0.000 0.000
Er4 0.500 0.500 0.500
Mn1 0.250 0.250 0.250
Mn2 0.250 0.750 0.750
Mn3 0.750 0.250 0.750
Mn4 0.750 0.750 0.250
In1 0.250 0.250 0.750
In2 0.250 0.750 0.250
In3 0.750 0.250 0.250
In4 0.750 0.750 0.750

Results
Calculated formation energy, meV per atom: -99
Space group: F-43m, No. 216
Calculated volume, Å³ per atom: 24.3